Entry 1:
Here is crystalline BaNbVSi2 at its relaxed geometry from Alexandria. Energies are from PBE-GGA.

abc: 5.017 5.017 4.895
angles: 90.00 90.00 90.00
Fractional positions:
Ba (0.000, 0.000, 0.000)
Nb (0.500, 0.500, 0.500)
V (0.500, 0.500, 0.000)
Si (0.000, 0.500, 0.500)
Si (0.500, 0.000, 0.500)

Properties
E_tot   -30.3 eV per formula unit
Polymorph energy (0 for the lowest one)   0 meV per atom
Energy relative to the elements, uncorrected   1.6 eV per formula unit
SG   P4/mmm

***

Entry 2:
Here is crystalline BaY2NbSi at its relaxed geometry from Alexandria. Energies are from PBE-GGA.

abc: 5.578 5.578 5.005
angles: 90.00 90.00 90.00
Fractional positions:
Ba (0.000, 0.000, 0.000)
Y (0.000, 0.500, 0.500)
Y (0.500, 0.000, 0.500)
Nb (0.500, 0.500, 0.000)
Si (0.500, 0.500, 0.500)

Properties
E_tot   -29.1 eV per formula unit
Energy relative to the elements, uncorrected   1.2 eV per formula unit
SG   P4/mmm

***

Entry 3:
Here is crystalline BaNbSn at its relaxed geometry from Alexandria. Energies are from PBE-GGA.

abc: 3.648 3.666 13.559
angles: 85.00 82.51 89.97
Fractional positions:
Ba (0.082, 0.139, 0.349)
Ba (0.918, 0.861, 0.651)
Nb (0.226, 0.234, 0.051)
Nb (0.774, 0.766, 0.949)
Sn (0.331, 0.304, 0.832)
Sn (0.669, 0.696, 0.168)

Properties
E_tot   -16.5 eV per formula unit
Formation energy   -0.180 eV/atom
Polymorph energy (0 for the lowest one)   3 meV per atom
SG   P-1

***

no.,magnetization (μB/f.u.)
1,2.10
2,1.69
3,0.00